[1]
Compound: Ce2HoTm6Sc3
Source: the Alexandria database
Functional: PBE
Structure: relaxed

Cell and atoms, written as POSCAR:
```
Ce2HoTm6Sc3
1.0
2.9844 -5.1694 0.0000
2.9844 5.1694 0.0000
-1.9911 0.0000 11.1654
Ce Ho Tm Sc
2 1 6 3
Cartesian
2.9844 3.4447 0.0000
2.9844 -3.4447 0.0000
2.9844 0.0000 0.0000
-0.0058 1.7303 8.2890
0.9867 0.0000 2.8732
-0.0058 -1.7303 8.2890
3.9835 1.7303 2.8764
2.9910 0.0000 8.2922
3.9835 -1.7303 2.8764
-0.9956 0.0000 5.5827
1.9889 1.7173 5.5827
1.9889 -1.7173 5.5827
```

[2]
Compound: CeHoTmSc
Source: the Alexandria database
Functional: PBE
Structure: relaxed

Cell and atoms, written as POSCAR:
```
CeHoTmSc
1.0
0.0000 3.8816 3.8816
3.8816 0.0000 3.8816
3.8816 3.8816 0.0000
Ce Ho Tm Sc
1 1 1 1
Cartesian
0.0000 0.0000 0.0000
3.8816 3.8816 3.8816
5.8224 5.8224 5.8224
1.9408 1.9408 1.9408
```

[3]
Compound: CeHo2TmSc4
Source: the Alexandria database
Functional: PBE
Structure: relaxed

Cell and atoms, written as POSCAR:
```
CeHo2TmSc4
1.0
4.8745 0.0000 0.0000
0.0000 4.8745 0.0000
0.0000 0.0000 9.2025
Ce Ho Tm Sc
1 2 1 4
Cartesian
0.0000 0.0000 0.0000
0.0000 0.0000 4.6012
2.4372 2.4372 0.0000
2.4372 2.4372 4.6012
0.0000 2.4372 2.2820
0.0000 2.4372 6.9205
2.4372 0.0000 2.2820
2.4372 0.0000 6.9205
```

[4]
Compound: CeHo2Tm4Sc
Source: the Alexandria database
Functional: PBE
Structure: relaxed

Cell and atoms, written as POSCAR:
```
CeHo2Tm4Sc
1.0
4.9113 0.0000 0.0000
0.0000 4.9113 0.0000
0.0000 0.0000 9.7964
Ce Ho Tm Sc
1 2 4 1
Cartesian
0.0000 0.0000 0.0000
0.0000 0.0000 4.8982
2.4556 2.4556 4.8982
0.0000 2.4556 2.4006
0.0000 2.4556 7.3957
2.4556 0.0000 2.4006
2.4556 0.0000 7.3957
2.4556 2.4556 0.0000
```

Number 1: formation energy 0.07 eV/atom, total DFT energy (no corrections) -5.122 eV/atom, M_tot 1.787 μB per cell. Number 2: formation energy 0.13 eV/atom, total DFT energy (no corrections) -5.203 eV/atom, M_tot 0.544 μB per cell. Number 3: formation energy 0.06 eV/atom, total DFT energy (no corrections) -5.548 eV/atom, M_tot 0.409 μB per cell. Number 4: formation energy 0.05 eV/atom, total DFT energy (no corrections) -4.860 eV/atom, M_tot 0.750 μB per cell.